(1)
Density functional theory data (PBE-GGA) for crystalline Al2ZnTe at its relaxed geometry.

DOS at the Fermi energy: 0.6 states/eV per cell
Calculated total energy: -2.9219 eV/atom
Energy above the most stable polymorph in this dataset: 11 meV per atom
Total magnetization: 0.0 μB/cell
E_form (uncorrected): 5.14 kJ per mole of atoms

a = 6.174 Å, b = 6.174 Å, c = 6.174 Å
α = 39.36°, β = 39.36°, γ = 39.36°
Element x y z (fractional)
Al (0.226, 0.226, 0.226)
Al (0.774, 0.774, 0.774)
Zn (0.500, 0.500, 0.500)
Te (0.000, 0.000, 0.000)

(2)
Density functional theory data (PBE-GGA) for crystalline Al2Zn2Te at its relaxed geometry.

DOS at the Fermi energy: 3.2 states/eV per cell
Calculated total energy: -2.4777 eV/atom
Energy above the most stable polymorph in this dataset: 25 meV per atom
Total magnetization: 0.0 μB/cell
E_form (uncorrected): 15.17 kJ per mole of atoms

a = 7.986 Å, b = 7.986 Å, c = 3.069 Å
α = 90.00°, β = 90.00°, γ = 90.00°
Element x y z (fractional)
Al (0.185, 0.315, 0.000)
Al (0.315, 0.815, 0.000)
Al (0.685, 0.185, 0.000)
Al (0.815, 0.685, 0.000)
Zn (0.115, 0.615, 0.500)
Zn (0.385, 0.115, 0.500)
Zn (0.615, 0.885, 0.500)
Zn (0.885, 0.385, 0.500)
Te (0.000, 0.000, 0.500)
Te (0.500, 0.500, 0.500)

(3)
Density functional theory data (PBE-GGA) for crystalline Al4ZnTe at its relaxed geometry.

DOS at the Fermi energy: 2.8 states/eV per cell
Calculated total energy: -2.9772 eV/atom
Total magnetization: 0.0 μB/cell
E_form (uncorrected): 24.48 kJ per mole of atoms

a = 5.508 Å, b = 5.508 Å, c = 5.508 Å
α = 60.00°, β = 60.00°, γ = 60.00°
Element x y z (fractional)
Al (0.376, 0.376, 0.376)
Al (0.376, 0.376, 0.873)
Al (0.376, 0.873, 0.376)
Al (0.873, 0.376, 0.376)
Zn (0.750, 0.750, 0.750)
Te (0.000, 0.000, 0.000)

(4)
Density functional theory data (PBE-GGA) for crystalline Al2ZnTe4 at its relaxed geometry.

DOS at the Fermi energy: 0.0 states/eV per cell
Calculated total energy: -3.5089 eV/atom
Energy above the most stable polymorph in this dataset: 0 meV per atom
Total magnetization: 0.0 μB/cell
E_form (uncorrected): -44.61 kJ per mole of atoms

a = 7.375 Å, b = 7.375 Å, c = 7.375 Å
α = 131.29°, β = 131.29°, γ = 71.35°
Element x y z (fractional)
Al (0.000, 0.000, 0.000)
Al (0.750, 0.250, 0.500)
Zn (0.250, 0.750, 0.500)
Te (0.143, 0.148, 0.525)
Te (0.382, 0.857, 0.005)
Te (0.623, 0.618, 0.475)
Te (0.852, 0.377, 0.995)

(5)
Density functional theory data (PBE-GGA) for crystalline AlZn2Te at its relaxed geometry.

DOS at the Fermi energy: 1.9 states/eV per cell
Calculated total energy: -2.2518 eV/atom
Energy above the most stable polymorph in this dataset: 107 meV per atom
Total magnetization: 0.0 μB/cell
E_form (uncorrected): 10.25 kJ per mole of atoms

a = 6.552 Å, b = 6.552 Å, c = 6.552 Å
α = 35.97°, β = 35.97°, γ = 35.97°
Element x y z (fractional)
Al (0.000, 0.000, 0.000)
Zn (0.257, 0.257, 0.257)
Zn (0.743, 0.743, 0.743)
Te (0.500, 0.500, 0.500)

(6)
Density functional theory data (PBE-GGA) for crystalline Al2ZnTe at its relaxed geometry.

DOS at the Fermi energy: 2.5 states/eV per cell
Calculated total energy: -2.6779 eV/atom
Energy above the most stable polymorph in this dataset: 255 meV per atom
Total magnetization: 0.0 μB/cell
E_form (uncorrected): 28.68 kJ per mole of atoms

a = 4.894 Å, b = 4.894 Å, c = 4.894 Å
α = 60.00°, β = 60.00°, γ = 60.00°
Element x y z (fractional)
Al (0.000, 0.000, 0.000)
Al (0.250, 0.250, 0.250)
Zn (0.750, 0.750, 0.750)
Te (0.500, 0.500, 0.500)

(7)
Density functional theory data (PBE-GGA) for crystalline Al2ZnTe at its relaxed geometry.

DOS at the Fermi energy: 1.2 states/eV per cell
Calculated total energy: -2.9020 eV/atom
Energy above the most stable polymorph in this dataset: 31 meV per atom
Total magnetization: 0.0 μB/cell
E_form (uncorrected): 7.06 kJ per mole of atoms

a = 4.597 Å, b = 4.597 Å, c = 5.935 Å
α = 109.13°, β = 109.13°, γ = 50.63°
Element x y z (fractional)
Al (0.000, 0.000, 0.000)
Al (0.743, 0.743, 0.178)
Zn (0.249, 0.249, 0.842)
Te (0.417, 0.417, 0.529)

(8)
Density functional theory data (PBE-GGA) for crystalline AlZn2Te at its relaxed geometry.

DOS at the Fermi energy: 1.5 states/eV per cell
Calculated total energy: -2.1169 eV/atom
Energy above the most stable polymorph in this dataset: 242 meV per atom
Total magnetization: 0.0 μB/cell
E_form (uncorrected): 23.26 kJ per mole of atoms

a = 5.239 Å, b = 5.239 Å, c = 5.239 Å
α = 129.96°, β = 129.96°, γ = 73.47°
Element x y z (fractional)
Al (0.000, 0.000, 0.000)
Zn (0.500, 0.500, 0.000)
Zn (0.750, 0.250, 0.500)
Te (0.250, 0.750, 0.500)

What did the third record say?
Density functional theory data (PBE-GGA) for crystalline Al4ZnTe at its relaxed geometry.

DOS at the Fermi energy: 2.8 states/eV per cell
Calculated total energy: -2.9772 eV/atom
Total magnetization: 0.0 μB/cell
E_form (uncorrected): 24.48 kJ per mole of atoms

a = 5.508 Å, b = 5.508 Å, c = 5.508 Å
α = 60.00°, β = 60.00°, γ = 60.00°
Element x y z (fractional)
Al (0.376, 0.376, 0.376)
Al (0.376, 0.376, 0.873)
Al (0.376, 0.873, 0.376)
Al (0.873, 0.376, 0.376)
Zn (0.750, 0.750, 0.750)
Te (0.000, 0.000, 0.000)